Entry 1:
# Ni8Pt3Rh2

Ni8Pt3Rh2 after structural relaxation (GGA-PBE, the Alexandria database).

Cell: 9.6957 9.6957 9.6957 Å, 27.64 27.64 27.64°
Fractional positions:
Ni  0.2268  0.2268  0.2268
Ni  0.2322  0.2322  0.7307
Ni  0.2322  0.7307  0.2322
Ni  0.2693  0.7678  0.7678
Ni  0.7307  0.2322  0.2322
Ni  0.7678  0.2693  0.7678
Ni  0.7678  0.7678  0.2693
Ni  0.7732  0.7732  0.7732
Pt  0.3170  0.3170  0.3170
Pt  0.5000  0.5000  0.5000
Pt  0.6830  0.6830  0.6830
Rh  0.1409  0.1409  0.1409
Rh  0.8591  0.8591  0.8591

DFT formation energy, meV/atom: 181
ΔE to the lowest computed polymorph, meV per atom: 0
Total energy, eV per atom: -5.9013



Entry 2:
# Ni6PtRh

Ni6PtRh after structural relaxation (GGA-PBE, the Alexandria database).

Cell: 3.6391 3.6391 7.2843 Å, 90.00 90.00 90.00°
Fractional positions:
Ni  0.0000  0.0000  0.0000
Ni  0.0000  0.0000  0.5000
Ni  0.0000  0.5000  0.2467
Ni  0.0000  0.5000  0.7533
Ni  0.5000  0.0000  0.2467
Ni  0.5000  0.0000  0.7533
Pt  0.5000  0.5000  0.5000
Rh  0.5000  0.5000  0.0000

DFT formation energy, meV/atom: -18
Total energy, eV per atom: -6.0276



Entry 3:
# Ni3PtRh2

Ni3PtRh2 after structural relaxation (GGA-PBE, the Alexandria database).

Cell: 4.9459 4.9459 6.6366 Å, 98.02 98.02 94.70°
Fractional positions:
Ni  0.0750  0.9250  0.7500
Ni  0.1512  0.3266  0.0001
Ni  0.3266  0.1512  0.5001
Ni  0.6734  0.8488  0.4999
Ni  0.8488  0.6734  0.9999
Ni  0.9250  0.0750  0.2500
Pt  0.4165  0.5835  0.7500
Pt  0.5835  0.4165  0.2500
Rh  0.1186  0.6315  0.3743
Rh  0.3685  0.8814  0.1257
Rh  0.6315  0.1186  0.8743
Rh  0.8814  0.3685  0.6257

DFT formation energy, meV/atom: 87
ΔE to the lowest computed polymorph, meV per atom: 0
Total energy, eV per atom: -6.2614



Entry 4:
# Ni4Pt7Rh

Ni4Pt7Rh after structural relaxation (GGA-PBE, the Alexandria database).

Cell: 4.7443 5.4100 7.1516 Å, 79.00 71.42 89.84°
Fractional positions:
Ni  0.1638  0.1651  0.3350
Ni  0.3342  0.5842  0.6643
Ni  0.6658  0.4158  0.3357
Ni  0.8362  0.8349  0.6650
Pt  0.0021  0.2505  0.0030
Pt  0.1727  0.6632  0.3415
Pt  0.3315  0.0851  0.6575
Pt  0.5000  0.5000  0.0000
Pt  0.6685  0.9149  0.3425
Pt  0.8273  0.3368  0.6585
Pt  0.9979  0.7495  0.9970
Rh  0.5000  0.0000  0.0000

DFT formation energy, meV/atom: -51
Total energy, eV per atom: -6.1150



Entry 5:
# NiPt4Rh

NiPt4Rh after structural relaxation (GGA-PBE, the Alexandria database).

Cell: 5.0443 7.7296 5.3995 Å, 90.00 105.16 90.00°
Fractional positions:
Ni  0.2375  0.2500  0.4333
Ni  0.7625  0.7500  0.5667
Pt  0.2192  0.7500  0.4345
Pt  0.2289  0.2500  0.9362
Pt  0.4969  0.0007  0.7468
Pt  0.4969  0.4993  0.7468
Pt  0.5031  0.5007  0.2532
Pt  0.5031  0.9993  0.2532
Pt  0.7711  0.7500  0.0638
Pt  0.7808  0.2500  0.5655
Rh  0.2212  0.7500  0.9285
Rh  0.7788  0.2500  0.0715

DFT formation energy, meV/atom: 247
ΔE to the lowest computed polymorph, meV per atom: 175
Total energy, eV per atom: -5.9690



Entry 6:
# NiPt2Rh6

NiPt2Rh6 after structural relaxation (GGA-PBE, the Alexandria database).

Cell: 7.8404 7.8404 7.8404 Å, 160.27 124.72 59.27°
Fractional positions:
Ni  0.0000  0.0000  0.0000
Pt  0.3105  0.5000  0.8105
Pt  0.6895  0.5000  0.1895
Rh  0.0030  0.6764  0.3266
Rh  0.3490  0.8490  0.5000
Rh  0.3498  0.6764  0.6734
Rh  0.6502  0.3236  0.3266
Rh  0.6510  0.1510  0.5000
Rh  0.9970  0.3236  0.6734

DFT formation energy, meV/atom: 157
ΔE to the lowest computed polymorph, meV per atom: 23
Total energy, eV per atom: -6.7283